Entry 1:
A geometry-optimized Os2W structure, computed with PBE-GGA.

abc: 2.7534 4.1789 17.0996
angles: 90.00 90.00 90.00
With the nearest neighbours (Å) after each atom.
Space group Imma (No. 74)
Unique sites:
Os: 0.0000 0.2500 0.0369 (multiplicity 4)  3 Os 2.44-2.56
Os: 0.0000 0.2500 0.1867 (multiplicity 4)  5 Os 2.56-2.75, 4 W 2.78
W: 0.0000 0.2500 0.6159 (multiplicity 4)  2 W 2.75, 10 Os 2.78-2.95

## Properties
* relative energy among the computed polymorphs: 455 meV per atom
* raw total energy: -11.35 eV/atom
* calculated formation energy: 0.454 eV per atom

=====

Entry 2:
A geometry-optimized ErHf2Re9 structure, computed with PBE-GGA.

abc: 5.2673 5.2673 26.2602
angles: 90.00 90.00 120.00
With the nearest neighbours (Å) after each atom.
Space group R-3m (No. 166, hexagonal axes)
Unique sites:
Er: 0.0000 0.0000 0.0000 (multiplicity 3)  6 Re 3.04
Hf: 0.0000 0.0000 0.1432 (multiplicity 6)  12 Re 3.03-3.12, 3 Hf 3.28
Re: 0.0000 0.0000 0.3357 (multiplicity 6)  6 Re 2.69-2.75
Re: 0.0000 0.0000 0.5000 (multiplicity 3)  6 Re 2.64
Re: 0.0085 0.5043 0.9142 (multiplicity 18)  7 Re 2.57-2.75

## Properties
* raw total energy: -11.55 eV/atom
* calculated formation energy: -0.174 eV per atom

=====

Entry 3:
A geometry-optimized CaFeCo2 structure, computed with PBE-GGA.

abc: 2.9211 4.4933 9.0888
angles: 90.00 90.00 90.00
With the nearest neighbours (Å) after each atom.
Space group Imm2 (No. 44)
Unique sites:
Ca: 0.0000 0.0000 0.0000 (multiplicity 2)  6 Co 2.68-2.92, 2 Ca 2.92, 4 Fe 2.96-2.99
Fe: 0.0000 0.5000 0.2166 (multiplicity 2)  6 Co 2.48-2.74
Co: 0.0000 0.0000 0.4961 (multiplicity 2)  2 Co 2.46, 2 Fe 2.48, 4 Ca 2.68
Co: 0.0000 0.5000 0.7780 (multiplicity 2)  2 Co 2.46, 4 Fe 2.74

## Properties
* relative energy among the computed polymorphs: 257 meV per atom
* raw total energy: -5.76 eV/atom
* calculated formation energy: 0.409 eV per atom

=====

Entry 4:
A geometry-optimized YPuHf structure, computed with PBE-GGA.

abc: 5.3012 5.3012 3.1928
angles: 90.00 90.00 120.00
With the nearest neighbours (Å) after each atom.
Space group P-6m2 (No. 187)
Unique sites:
Y: 0.0000 0.0000 0.0000 (multiplicity 1)  2 Y 3.19, 6 Hf 3.45, 6 Pu 3.45
Pu: 0.6667 0.3333 0.5000 (multiplicity 1)  3 Hf 3.06, 2 Pu 3.19
Hf: 0.3333 0.6667 0.5000 (multiplicity 1)  3 Pu 3.06, 2 Hf 3.19

## Properties
* relative energy among the computed polymorphs: 70 meV per atom
* raw total energy: -10.02 eV/atom
* calculated formation energy: 0.234 eV per atom

=====

Entry 5:
A geometry-optimized AcPm2P structure, computed with PBE-GGA.

abc: 3.7414 3.7414 8.4903
angles: 90.00 90.00 90.00
With the nearest neighbours (Å) after each atom.
Space group P4/mmm (No. 123)
Unique sites:
Ac: 0.0000 0.0000 0.0000 (multiplicity 1)  4 Ac 3.74, 8 Pm 3.78
Pm: 0.5000 0.5000 0.3179 (multiplicity 2)  4 P 3.06, 1 Pm 3.09
P: 0.0000 0.0000 0.5000 (multiplicity 1)  8 Pm 3.06

## Properties
* relative energy among the computed polymorphs: 187 meV per atom
* raw total energy: -5.29 eV/atom
* calculated formation energy: -0.536 eV per atom

=====

Entry 6:
A geometry-optimized NaZnN2O structure, computed with PBE-GGA.

abc: 4.0219 4.0219 4.0278
angles: 90.00 90.00 90.00
With the nearest neighbours (Å) after each atom.
Space group P4/mmm (No. 123)
Unique sites:
Na: 0.0000 0.0000 0.0000 (multiplicity 1)  4 O 2.84, 8 N 2.85
Zn: 0.5000 0.5000 0.5000 (multiplicity 1)  4 N 2.01, 2 O 2.01
N: 0.0000 0.5000 0.5000 (multiplicity 2)  2 Zn 2.01
O: 0.5000 0.5000 0.0000 (multiplicity 1)  2 Zn 2.01

## Properties
* energy relative to the elements, uncorrected: 0.941 eV/atom
* raw total energy: -3.90 eV/atom

=====

Entry 7:
A geometry-optimized Ba2CrSb structure, computed with PBE-GGA.

abc: 4.9919 4.9919 7.0671
angles: 90.00 90.00 90.00
With the nearest neighbours (Å) after each atom.
Space group P4mm (No. 99)
Unique sites:
Ba: 0.0000 0.0000 0.0000 (multiplicity 1)  2 Cr 3.38-3.69, 4 Sb 3.56
Ba: 0.5000 0.5000 0.4412 (multiplicity 1)  2 Sb 3.49-3.58, 4 Cr 3.58
Cr: 0.0000 0.0000 0.5218 (multiplicity 1)  6 Ba 3.38-3.69
Sb: 0.5000 0.5000 0.9344 (multiplicity 1)  6 Ba 3.49-3.58

## Properties
* energy relative to the elements, uncorrected: 0.084 eV/atom
* raw total energy: -4.31 eV/atom

=====

Entry 8:
A geometry-optimized Er2Co5GeB2 structure, computed with PBE-GGA.

abc: 8.8840 8.8840 3.0758
angles: 90.00 90.00 90.00
With the nearest neighbours (Å) after each atom.
Space group P4/mbm (No. 127)
Unique sites:
Er: 0.1775 0.3225 0.0000 (multiplicity 4)  3 B 2.58-2.67, 10 Co 2.71-2.81
Co: 0.0000 0.5000 0.5000 (multiplicity 2)  4 B 2.13
Co: 0.0681 0.7757 0.5000 (multiplicity 8)  2 B 2.13
Ge: 0.0000 0.0000 0.0000 (multiplicity 2)  8 Co 2.59
B: 0.1170 0.6170 0.0000 (multiplicity 4)  6 Co 2.13

## Properties
* raw total energy: -6.70 eV/atom
* calculated formation energy: -0.442 eV per atom

=====

Entry 9:
A geometry-optimized Ta2CrIn structure, computed with PBE-GGA.

abc: 3.3733 4.5918 8.9249
angles: 90.00 90.00 90.00
With the nearest neighbours (Å) after each atom.
Space group Immm (No. 71)
Unique sites:
Ta: 0.0000 0.0000 0.2259 (multiplicity 4)  2 Cr 2.63, 4 Ta 2.88
Cr: 0.0000 0.5000 0.5000 (multiplicity 2)  4 Ta 2.63, 4 In 2.85
In: 0.0000 0.5000 0.0000 (multiplicity 2)  4 Cr 2.85, 8 Ta 2.97-3.06

## Properties
* raw total energy: -8.84 eV/atom
* calculated formation energy: 0.172 eV per atom

=====

Entry 10:
A geometry-optimized KCdAg2 structure, computed with PBE-GGA.

abc: 8.4984 4.9050 6.5234
angles: 90.00 115.98 90.00
With the nearest neighbours (Å) after each atom.
Space group C2/m (No. 12)
Unique sites:
K: 0.0000 0.0000 0.0000 (multiplicity 2)  2 Ag 3.25
Cd: 0.0000 0.5000 0.5000 (multiplicity 2)  6 Ag 2.85
Ag: 0.1848 0.0000 0.5538 (multiplicity 4)  3 Cd 2.85, 3 Ag 2.90

## Properties
* relative energy among the computed polymorphs: 0 meV per atom
* raw total energy: -1.96 eV/atom
* calculated formation energy: -0.036 eV per atom

=====

Entry 11:
A geometry-optimized ZrTl2Co structure, computed with PBE-GGA.

abc: 3.2412 3.2468 8.5320
angles: 90.00 100.81 90.00
With the nearest neighbours (Å) after each atom.
Space group Pm (No. 6)
Unique sites:
Zr: 0.0000 0.0000 0.0000 (multiplicity 1)  4 Co 2.61
Tl: 0.1902 0.0000 0.3772 (multiplicity 1)  4 Co 2.98-2.99, 1 Zr 3.16, 6 Tl 3.24-3.25
Tl: 0.3578 0.5000 0.7130 (multiplicity 1)  6 Tl 3.24-3.25, 4 Zr 3.32
Co: 0.5737 0.5000 0.1493 (multiplicity 1)  4 Zr 2.61

## Properties
* raw total energy: -5.01 eV/atom
* calculated formation energy: 0.089 eV per atom

=====

Entry 12:
A geometry-optimized LiAgO2 structure, computed with PBE-GGA.

abc: 5.4335 4.7488 3.7911
angles: 90.00 90.00 90.00
With the nearest neighbours (Å) after each atom.
Space group Pmna (No. 53)
Unique sites:
Li: 0.0000 0.0000 0.0000 (multiplicity 2)  4 O 2.04
Ag: 0.0000 0.5000 0.5000 (multiplicity 2)  4 O 2.03
O: 0.2500 0.2519 0.2500 (multiplicity 4)  2 Ag 2.03, 2 Li 2.04

## Properties
* energy relative to the elements, uncorrected: -0.747 eV/atom
* raw total energy: -4.42 eV/atom

=====

What did the tenth record say?
A geometry-optimized KCdAg2 structure, computed with PBE-GGA.

abc: 8.4984 4.9050 6.5234
angles: 90.00 115.98 90.00
With the nearest neighbours (Å) after each atom.
Space group C2/m (No. 12)
Unique sites:
K: 0.0000 0.0000 0.0000 (multiplicity 2)  2 Ag 3.25
Cd: 0.0000 0.5000 0.5000 (multiplicity 2)  6 Ag 2.85
Ag: 0.1848 0.0000 0.5538 (multiplicity 4)  3 Cd 2.85, 3 Ag 2.90

## Properties
* relative energy among the computed polymorphs: 0 meV per atom
* raw total energy: -1.96 eV/atom
* calculated formation energy: -0.036 eV per atom